Record 1
DFT (PBE) results for an optimized crystal structure of PrTm6Tl2.

Values from the calculation:
The value obtained for the formation energy is -1.20 eV/f.u.

a b c (Å): 12.609 3.707 12.014
angles (deg): 90.00 107.58 90.00
Space group C2/m (No. 12)
Symmetry-distinct sites (fractional):
Pr1 0.000 0.000 0.000 x2
Tm1 0.011 0.000 0.351 x4
Tm2 0.188 0.500 0.873 x4
Tm3 0.190 0.500 0.580 x4
Tl1 0.143 0.500 0.222 x4

=====

Record 2
DFT (PBE) results for an optimized crystal structure of SmDy2Er2Mg5.

Values from the calculation:
The value obtained for the formation energy is 0.74 eV/f.u.

a b c (Å): 10.570 10.570 5.092
angles (deg): 90.00 90.00 90.00
Space group P4/mbm (No. 127)
Symmetry-distinct sites (fractional):
Sm1 0.000 0.000 0.000 x2
Dy1 0.178 0.322 0.000 x4
Er1 0.118 0.618 0.000 x4
Mg1 0.000 0.500 0.500 x2
Mg2 0.075 0.802 0.500 x8

=====

Record 3
DFT (PBE) results for an optimized crystal structure of BaUSi2S8.

Values from the calculation:
As for the uncorrected formation energy: -0.967 eV per atom.

a b c (Å): 6.1924 6.1924 9.0482
angles (deg): 90.00 90.00 120.00
Space group P-3 (No. 147)
Symmetry-distinct sites (fractional):
Ba1 0.0000 0.0000 0.0000 x1
U1 0.0000 0.0000 0.5000 x1
Si1 0.3333 0.6667 0.7507 x2
S1 0.0055 0.3354 0.6701 x6
S2 0.3333 0.6667 0.9767 x2

=====

Record 4
DFT (PBE) results for an optimized crystal structure of TcTeP2.

Values from the calculation:
As for the uncorrected formation energy: 0.185 eV per atom.

a b c (Å): 3.844 4.244 5.220
angles (deg): 90.00 99.45 90.00
Space group Pm (No. 6)
Symmetry-distinct sites (fractional):
Tc1 0.000 0.000 0.000 x1
Te1 0.760 0.500 0.276 x1
P1 0.220 0.500 0.904 x1
P2 0.477 0.000 0.731 x1

=====

Record 5
DFT (PBE) results for an optimized crystal structure of La2Pm2Nd4Mg.

Values from the calculation:
The value obtained for the formation energy is 0.70 eV/f.u.

a b c (Å): 6.605 6.642 7.675
angles (deg): 74.85 75.46 85.44
Space group P-1 (No. 2)
Symmetry-distinct sites (fractional):
La1 0.187 0.126 0.283 x2
Pm1 0.371 0.704 0.607 x2
Nd1 0.211 0.168 0.807 x2
Nd2 0.323 0.669 0.095 x2
Mg1 0.000 0.500 0.500 x1

=====

Record 6
DFT (PBE) results for an optimized crystal structure of Tb6Pm3Pr2Y.

Values from the calculation:
The value obtained for the formation energy is 0.15 eV/f.u.

a b c (Å): 6.261 10.840 11.943
angles (deg): 90.00 100.03 90.00
Space group C2/m (No. 12)
Symmetry-distinct sites (fractional):
Tb1 0.249 0.000 0.249 x4
Tb2 0.250 0.167 0.751 x8
Pm1 0.000 0.167 0.000 x4
Pm2 0.000 0.500 0.000 x2
Pr1 0.000 0.334 0.500 x4
Y1 0.000 0.000 0.500 x2

=====

Record 7
DFT (PBE) results for an optimized crystal structure of Ba5ZnAg2.

Values from the calculation:
The value obtained for the formation energy is -1.30 eV/f.u.

a b c (Å): 8.987 8.987 16.728
angles (deg): 90.00 90.00 90.00
Space group I4/mcm (No. 140)
Symmetry-distinct sites (fractional):
Ba1 0.000 0.000 0.000 x4
Ba2 0.171 0.329 0.143 x16
Zn1 0.000 0.000 0.250 x4
Ag1 0.117 0.383 0.500 x8

=====

Record 8
DFT (PBE) results for an optimized crystal structure of Sr2PbSe.

Values from the calculation:
As for the uncorrected formation energy: -0.870 eV per atom. The energy relative to the lowest polymorph listed for this composition comes out at 1.32 eV/f.u.

a b c (Å): 4.609 6.381 9.288
angles (deg): 90.00 90.00 90.00
Space group Immm (No. 71)
Symmetry-distinct sites (fractional):
Sr1 0.000 0.000 0.217 x4
Pb1 0.000 0.500 0.000 x2
Se1 0.000 0.500 0.500 x2

=====

Record 9
DFT (PBE) results for an optimized crystal structure of Mn3BiSe.

Values from the calculation:
As for the uncorrected formation energy: 1.067 eV per atom. The energy relative to the lowest polymorph listed for this composition comes out at 2.84 eV/f.u.

a b c (Å): 5.246 5.246 5.246
angles (deg): 90.00 90.00 90.00
Space group Pm-3m (No. 221)
Symmetry-distinct sites (fractional):
Mn1 0.000 0.000 0.500 x3
Bi1 0.000 0.000 0.000 x1
Se1 0.500 0.500 0.500 x1

=====

Record 10
DFT (PBE) results for an optimized crystal structure of Cs2NpAg2Se4.

Values from the calculation:
As for the uncorrected formation energy: -0.903 eV per atom.

a b c (Å): 15.724 4.340 8.530
angles (deg): 90.00 108.36 90.00
Space group C2/m (No. 12)
Symmetry-distinct sites (fractional):
Cs1 0.136 0.000 0.072 x4
Np1 0.000 0.000 0.500 x2
Ag1 0.180 0.500 0.482 x4
Se1 0.011 0.500 0.281 x4
Se2 0.188 0.000 0.677 x4

=====

Record 11
DFT (PBE) results for an optimized crystal structure of LiCaPuRu.

Values from the calculation:
The value obtained for the formation energy is 0.61 eV/f.u.

a b c (Å): 6.966 6.966 6.966
angles (deg): 90.00 90.00 90.00
Space group F-43m (No. 216)
Symmetry-distinct sites (fractional):
Li1 0.000 0.000 0.000 x4
Ca1 0.250 0.250 0.750 x4
Pu1 0.250 0.250 0.250 x4
Ru1 0.000 0.000 0.500 x4

=====

Record 12
DFT (PBE) results for an optimized crystal structure of PmDy2Er3Te6.

Values from the calculation:
As for the uncorrected formation energy: -1.268 eV per atom.

a b c (Å): 19.046 4.330 8.762
angles (deg): 90.00 104.00 90.00
Space group C2/m (No. 12)
Symmetry-distinct sites (fractional):
Pm1 0.000 0.000 0.000 x2
Dy1 0.164 0.500 0.328 x4
Er1 0.000 0.000 0.500 x2
Er2 0.163 0.500 0.832 x4
Te1 0.000 0.500 0.259 x4
Te2 0.167 0.000 0.584 x4
Te3 0.171 0.000 0.082 x4